1.
La4SbIrBr2 | GGA-PBE | optimized geometry

Summary:
The space group is P2/m.

Cell lengths 4.289, 8.004, 7.868 Å; angles 107.69, 90.00, 90.00 degrees
Sites, in units of the cell vectors:
Sb1 0.000 0.000 0.000
Br1 0.000 0.500 0.500
La1 0.500 0.734 0.776
La2 0.500 0.266 0.224
Ir1 0.500 0.500 0.000
Br2 0.500 0.000 0.500
La3 0.000 0.706 0.203
La4 0.000 0.294 0.797


2.
La8SbIr3Br4 | GGA-PBE | optimized geometry

Summary:
The space group is R-3m.

Cell lengths 8.691, 9.233, 8.692 Å; angles 118.09, 120.00, 90.00 degrees
Sites, in units of the cell vectors:
La1 0.709 0.703 0.956
Ir1 0.500 0.500 0.500
La2 0.733 0.699 0.466
La3 0.753 0.298 0.506
La4 0.753 0.297 0.044
La5 0.267 0.301 0.534
Sb1 0.000 0.500 0.000
Ir2 0.000 0.500 0.500
Br1 0.000 0.000 0.000
Br2 0.000 0.000 0.500
La6 0.247 0.703 0.956
Ir3 0.500 0.500 0.000
La7 0.247 0.702 0.494
La8 0.291 0.297 0.044
Br3 0.500 0.000 0.000
Br4 0.500 0.000 0.500


3.
LaIrSeBr2 | GGA-PBE | optimized geometry

Summary:
For the distance to the lowest polymorph of the same formula, the calculation gives 677 meV per atom. The space group is P4/mmm.

Cell lengths 5.743, 5.743, 5.911 Å; angles 90.00, 90.00, 90.00 degrees
Each line ends with the local moment (μB).
Sites, in units of the cell vectors:
La1 0.000 0.000 0.000  0.01
Ir1 0.500 0.500 0.500  2.44
Se1 0.000 0.000 0.500  -0.02
Br1 0.500 0.000 0.000  0.03
Br2 0.000 0.500 0.000  0.03


4.
LaIrSeBr2 | GGA-PBE | optimized geometry

Summary:
For the distance to the lowest polymorph of the same formula, the calculation gives 0 meV per atom. The space group is P4/mmm.

Cell lengths 5.027, 5.027, 5.052 Å; angles 90.00, 90.00, 90.00 degrees
Sites, in units of the cell vectors:
La1 0.500 0.500 0.500
Se1 0.000 0.000 0.500
Br1 0.000 0.500 0.000
Ir1 0.000 0.000 0.000
Br2 0.500 0.000 0.000


5.
La4IrSe2Br | GGA-PBE | optimized geometry

Summary:
The space group is P2/m.

Cell lengths 4.212, 7.572, 7.584 Å; angles 71.08, 90.00, 90.00 degrees
Sites, in units of the cell vectors:
La1 0.000 0.757 0.735
Ir1 0.000 0.500 0.500
La2 0.000 0.243 0.265
Se1 0.000 0.000 0.000
Br1 0.500 0.500 0.000
La3 0.500 0.729 0.278
Se2 0.500 0.000 0.500
La4 0.500 0.271 0.722


6.
La8Ir3SeBr4 | GGA-PBE | optimized geometry

Summary:
The space group is R-3m.

Cell lengths 8.562, 9.191, 8.563 Å; angles 117.77, 120.00, 90.00 degrees
Sites, in units of the cell vectors:
La1 0.732 0.697 0.465
La2 0.757 0.298 0.041
La3 0.716 0.702 0.959
La4 0.284 0.298 0.041
Ir1 0.000 0.500 0.500
La5 0.243 0.702 0.486
Br1 0.000 0.000 0.000
La6 0.757 0.298 0.514
Br2 0.000 0.000 0.500
Ir2 0.500 0.500 0.500
Br3 0.500 0.000 0.000
Br4 0.500 0.000 0.500
La7 0.268 0.303 0.535
La8 0.243 0.702 0.959
Ir3 0.500 0.500 0.000
Se1 0.000 0.500 0.000


7.
La4SiIrBr2 | GGA-PBE | optimized geometry

Summary:
The space group is P2/m.

Cell lengths 4.253, 7.629, 7.936 Å; angles 106.73, 90.00, 90.00 degrees
Sites, in units of the cell vectors:
Si1 0.000 0.000 0.000
La1 0.500 0.751 0.797
La2 0.000 0.725 0.203
La3 0.500 0.249 0.203
La4 0.000 0.275 0.797
Ir1 0.500 0.500 0.000
Br1 0.500 0.000 0.500
Br2 0.000 0.500 0.500


8.
LaSmIrBr | GGA-PBE | optimized geometry

Summary:
The space group is R3m.

Cell lengths 4.152, 4.152, 8.278 Å; angles 90.02, 104.52, 120.00 degrees
Sites, in units of the cell vectors:
Sm1 0.100 0.948 0.063
Ir1 0.306 0.551 0.873
Br1 0.962 0.379 0.355
La1 0.510 0.153 0.679


| no. | raw total energy (eV per atom) | volume (Å³/cell) | magnetization (μB/atom) |
| --- | --- | --- | --- |
| 1 | -5.739 | 257.4 | 0.000 |
| 2 | -6.006 | 507.0 | 0.000 |
| 3 | -3.938 | 194.9 | 0.579 |
| 4 | -4.615 | 127.7 | 0.004 |
| 5 | -6.178 | 228.8 | 0.000 |
| 6 | -6.071 | 492.0 | 0.000 |
| 7 | -5.809 | 246.6 | 0.000 |
| 8 | -6.193 | 118.3 | 0.000 |